Compound: Pu2PbSe
Source: Alexandria
Functional: PBE-GGA
Structure: relaxed

a b c (Å): 4.027 4.027 8.493
angles (deg): 76.29 76.29 60.00
Positions (direct):
Pb (0.000, 0.000, 0.000)
Se (0.500, 0.500, 0.500)
Pu (0.761, 0.761, 0.716)
Pu (0.239, 0.239, 0.284)

Calculated values
- excess energy over the best structure of this formula in the dataset (meV/atom) = 41.5
- crystal system = trigonal
- E_form (uncorrected) (eV/atom) = -0.688

Compound: PuPb2Se4
Source: Alexandria
Functional: PBE-GGA
Structure: relaxed

a b c (Å): 4.065 7.553 13.857
angles (deg): 90.00 90.00 105.61
Positions (direct):
Pu (0.617, 0.235, 0.750)
Pu (0.383, 0.765, 0.250)
Pb (0.131, 0.263, 0.432)
Pb (0.869, 0.737, 0.932)
Pb (0.131, 0.263, 0.068)
Pb (0.869, 0.737, 0.568)
Se (0.788, 0.576, 0.130)
Se (0.788, 0.576, 0.370)
Se (0.212, 0.424, 0.870)
Se (0.212, 0.424, 0.630)
Se (0.981, 0.962, 0.750)
Se (0.019, 0.038, 0.250)
Se (0.500, 0.000, 0.000)
Se (0.500, 0.000, 0.500)

Calculated values
- crystal system = orthorhombic
- E_form (uncorrected) (eV/atom) = -0.751

Compound: PuPbSe
Source: Alexandria
Functional: PBE-GGA
Structure: relaxed

a b c (Å): 4.054 4.054 10.284
angles (deg): 90.00 90.00 90.00
Positions (direct):
Pb (0.000, 0.500, 0.580)
Pb (0.500, 0.000, 0.420)
Pu (0.000, 0.500, 0.171)
Pu (0.500, 0.000, 0.829)
Se (0.500, 0.000, 0.116)
Se (0.000, 0.500, 0.884)

Calculated values
- excess energy over the best structure of this formula in the dataset (meV/atom) = 0.0
- crystal system = tetragonal
- E_form (uncorrected) (eV/atom) = -0.818

Compound: PuPb2Se3
Source: Alexandria
Functional: PBE-GGA
Structure: relaxed

a b c (Å): 4.181 6.072 8.019
angles (deg): 112.25 90.00 90.00
Positions (direct):
Pu (0.000, 0.000, 0.000)
Pb (0.500, 0.348, 0.695)
Pb (0.500, 0.652, 0.305)
Se (0.500, 0.862, 0.724)
Se (0.500, 0.138, 0.276)
Se (0.000, 0.500, 0.000)

Calculated values
- crystal system = orthorhombic
- E_form (uncorrected) (eV/atom) = -0.785

Compound: Pu2Tl3PbSe6
Source: Alexandria
Functional: PBE-GGA
Structure: relaxed

a b c (Å): 7.419 7.419 8.032
angles (deg): 98.80 98.80 119.81
Positions (direct):
Pu (0.333, 0.667, 0.000)
Pu (0.667, 0.333, 0.000)
Tl (0.162, 0.838, 0.500)
Tl (0.838, 0.162, 0.500)
Tl (0.500, 0.500, 0.500)
Pb (0.000, 0.000, 0.000)
Se (0.930, 0.573, 0.790)
Se (0.711, 0.711, 0.204)
Se (0.070, 0.427, 0.210)
Se (0.573, 0.930, 0.790)
Se (0.289, 0.289, 0.796)
Se (0.427, 0.070, 0.210)

Calculated values
- crystal system = monoclinic
- E_form (uncorrected) (eV/atom) = -0.915

Compound: PuTl3Pb2Se6
Source: Alexandria
Functional: PBE-GGA
Structure: relaxed

a b c (Å): 7.532 7.532 7.907
angles (deg): 99.03 99.03 119.66
Positions (direct):
Pu (0.000, 0.000, 0.000)
Tl (0.170, 0.830, 0.500)
Tl (0.830, 0.170, 0.500)
Tl (0.500, 0.500, 0.500)
Pb (0.334, 0.666, 0.000)
Pb (0.666, 0.334, 0.000)
Se (0.930, 0.626, 0.789)
Se (0.769, 0.769, 0.219)
Se (0.070, 0.374, 0.211)
Se (0.626, 0.930, 0.789)
Se (0.231, 0.231, 0.781)
Se (0.374, 0.070, 0.211)

Calculated values
- crystal system = monoclinic
- E_form (uncorrected) (eV/atom) = -0.670

Compound: PuTl2PbSe4
Source: Alexandria
Functional: PBE-GGA
Structure: relaxed

a b c (Å): 4.304 7.958 7.534
angles (deg): 71.95 90.00 90.00
Positions (direct):
Pu (0.000, 0.500, 0.500)
Tl (0.000, 0.000, 0.000)
Tl (0.500, 0.000, 0.500)
Pb (0.500, 0.500, 0.000)
Se (0.000, 0.715, 0.737)
Se (0.000, 0.285, 0.263)
Se (0.500, 0.707, 0.283)
Se (0.500, 0.293, 0.717)

Calculated values
- crystal system = monoclinic
- E_form (uncorrected) (eV/atom) = -0.778

Compound: Pu2SiPb
Source: Alexandria
Functional: PBE-GGA
Structure: relaxed

a b c (Å): 4.479 4.640 4.640
angles (deg): 90.00 90.00 90.00
Positions (direct):
Pb (0.500, 0.000, 0.000)
Si (0.500, 0.500, 0.500)
Pu (0.000, 0.000, 0.500)
Pu (0.000, 0.500, 0.000)

Calculated values
- excess energy over the best structure of this formula in the dataset (meV/atom) = 109.2
- crystal system = tetragonal
- E_form (uncorrected) (eV/atom) = -0.160

Compound: Pu2SiPb
Source: Alexandria
Functional: PBE-GGA
Structure: relaxed

a b c (Å): 5.027 5.027 5.459
angles (deg): 62.59 62.59 60.00
Positions (direct):
Pb (0.500, 0.500, 0.500)
Si (0.000, 0.000, 0.000)
Pu (0.265, 0.265, 0.204)
Pu (0.735, 0.735, 0.796)

Calculated values
- excess energy over the best structure of this formula in the dataset (meV/atom) = 214.6
- crystal system = trigonal
- E_form (uncorrected) (eV/atom) = -0.055

Compound: Pu2Si2Pb
Source: Alexandria
Functional: PBE-GGA
Structure: relaxed

a b c (Å): 4.093 3.847 7.565
angles (deg): 104.73 90.00 90.00
Positions (direct):
Pu (0.500, 0.638, 0.275)
Pu (0.500, 0.362, 0.725)
Si (0.000, 0.203, 0.407)
Si (0.000, 0.797, 0.593)
Pb (0.000, 0.000, 0.000)

Calculated values
- crystal system = orthorhombic
- E_form (uncorrected) (eV/atom) = -0.333

Compound: Pu2SiPb
Source: Alexandria
Functional: PBE-GGA
Structure: relaxed

a b c (Å): 3.320 3.320 8.727
angles (deg): 90.00 90.00 90.00
Positions (direct):
Pb (0.500, 0.500, 0.500)
Si (0.500, 0.500, 0.000)
Pu (0.000, 0.000, 0.787)
Pu (0.000, 0.000, 0.213)

Calculated values
- excess energy over the best structure of this formula in the dataset (meV/atom) = 0.0
- crystal system = tetragonal
- E_form (uncorrected) (eV/atom) = -0.269

Compound: Sm2PuPb
Source: Alexandria
Functional: PBE-GGA
Structure: relaxed

a b c (Å): 4.670 5.003 5.003
angles (deg): 90.00 90.00 90.00
Positions (direct):
Pb (0.500, 0.500, 0.500)
Sm (0.000, 0.000, 0.500)
Sm (0.000, 0.500, 0.000)
Pu (0.500, 0.000, 0.000)

Calculated values
- excess energy over the best structure of this formula in the dataset (meV/atom) = 0.0
- crystal system = tetragonal
- formation energy (kJ/mol of atoms) = -19.8

no.,magnetization (μB/f.u.)
1,11.54
2,4.15
3,5.78
4,5.44
5,9.00
6,2.99
7,4.04
8,11.57
9,11.30
10,11.20
11,11.13
12,6.71